## CaY2Fe (GGA-PBE)

Data for crystalline CaY2Fe at its relaxed geometry.

abc: 7.6005 7.6005 10.7649
angles: 90.00 90.00 90.00
With the nearest neighbours (Å) after each atom.
Space group I4_1/amd (No. 141, origin choice 2)
Unique sites:
Ca: 0.0000 0.2500 0.3750 (multiplicity 4)  12 Y 4.46, 4 Fe 4.66, 4 Ca 4.66
Y: 0.0000 0.0000 0.0000 (multiplicity 8)  2 Fe 2.33
Fe: 0.0000 0.2500 0.8750 (multiplicity 4)  4 Y 2.33

## Properties
* E_form: 2.7 eV/f.u.
* calculated volume: 621.9 Å³/cell
* raw total energy: -5.1848 eV per atom
* polymorph energy (0 for the lowest one): 54.7 kJ/mol of atoms